[1]
Below is a geometry-optimized ZrCrSnBi2 structure, with properties calculated at the GGA-PBE level.

abc: 5.646 5.573 5.646
angles: 90.00 90.00 90.00
Last column: magnetic moment on the atom in μB.
Positions (direct):
Cr 0.500 0.500 0.500  -4.30
Sn 0.000 0.500 0.000  -0.01
Zr 0.000 0.000 0.000  -0.06
Bi 0.500 0.000 0.000  0.02
Bi 0.000 0.000 0.500  0.06

Total energy = -26.4 eV per cell
N(E_F) = 0.82 states/eV/atom
Energy relative to the elements = 0.705 eV/atom

=====

[2]
Below is a geometry-optimized Er2ScTl2 structure, with properties calculated at the GGA-PBE level.

abc: 5.037 5.037 12.526
angles: 90.00 90.00 120.00
Positions (direct):
Er 0.333 0.667 0.250
Er 0.000 0.000 0.000
Er 0.000 0.000 0.500
Er 0.667 0.333 0.750
Tl 0.333 0.667 0.625
Tl 0.333 0.667 0.875
Tl 0.667 0.333 0.375
Tl 0.667 0.333 0.125
Sc 0.000 0.000 0.250
Sc 0.000 0.000 0.750

Total energy = -40.4 eV per cell
N(E_F) = 0.71 states/eV/atom
Polymorph energy (0 for the lowest one) = 0.2256 eV per atom
Energy relative to the elements = 0.002 eV/atom

=====

[3]
Below is a geometry-optimized MgTcNi3 structure, with properties calculated at the GGA-PBE level.

abc: 4.482 4.482 4.482
angles: 90.00 90.00 90.00
Positions (direct):
Ni 0.500 0.000 0.000
Ni 0.000 0.500 0.000
Ni 0.000 0.000 0.500
Tc 0.000 0.000 0.000
Mg 0.500 0.500 0.500

Total energy = -24.5 eV per cell
N(E_F) = 1.06 states/eV/atom
Polymorph energy (0 for the lowest one) = 0.0000 eV per atom
Energy relative to the elements = 0.962 eV/atom